Version A
# Ce2NdTl4, relaxed, DFT PBE
# **Total moment**: 0.38 μB/atom
# **Calculated volume**: 32.18 Å³/atom
# **ρ**: 9.16 Mg/m³
data_Ce2NdTl4
_chemical_formula_sum 'Ce4 Nd2 Tl8'
_cell_length_a 8.0504
_cell_length_b 8.0504
_cell_length_c 6.9515
_cell_angle_alpha 90.00
_cell_angle_beta 90.00
_cell_angle_gamma 90.00
_symmetry_space_group_name_H-M 'I 4/m m m'
_symmetry_Int_Tables_number 139
_symmetry_space_group_name_Hall '-I 4 2'
loop_
_atom_site_label
_atom_site_type_symbol
_atom_site_fract_x
_atom_site_fract_y
_atom_site_fract_z
_atom_site_occupancy
Ce1 Ce 0.0000 0.5000 0.0000 1
Nd1 Nd 0.0000 0.0000 0.0000 1
Tl1 Tl 0.2500 0.2500 0.2500 1

Version B
# Ce2NdTl4, relaxed, DFT PBE
# **Total moment**: 0.36 μB/atom
# **Calculated volume**: 29.49 Å³/atom
# **ρ**: 9.99 Mg/m³
data_Ce2NdTl4
_chemical_formula_sum 'Ce4 Nd2 Tl8'
_cell_length_a 6.1198
_cell_length_b 6.3326
_cell_length_c 11.0298
_cell_angle_alpha 90.00
_cell_angle_beta 105.04
_cell_angle_gamma 90.00
_symmetry_space_group_name_H-M 'P 1 21/m 1'
_symmetry_Int_Tables_number 11
_symmetry_space_group_name_Hall '-P 2yb'
loop_
_atom_site_label
_atom_site_type_symbol
_atom_site_fract_x
_atom_site_fract_y
_atom_site_fract_z
_atom_site_occupancy
Ce1 Ce 0.1214 0.2500 0.4225 1
Ce2 Ce 0.3745 0.7500 0.9861 1
Nd1 Nd 0.0025 0.2500 0.8143 1
Tl1 Tl 0.1695 0.2500 0.1222 1
Tl2 Tl 0.3136 0.7500 0.4583 1
Tl3 Tl 0.3998 0.0049 0.7181 1

version B (43 meV/atom below the next structure)

Version A
# CeNd2Tl2, relaxed, DFT PBE
# **Total moment**: 0.14 μB/atom
# **Calculated volume**: 31.56 Å³/atom
# **ρ**: 8.81 Mg/m³
data_CeNd2Tl2
_chemical_formula_sum 'Ce1 Nd2 Tl2'
_cell_length_a 4.9775
_cell_length_b 6.1944
_cell_length_c 6.1991
_cell_angle_alpha 71.77
_cell_angle_beta 66.40
_cell_angle_gamma 66.39
_symmetry_space_group_name_H-M 'P -1'
_symmetry_Int_Tables_number 2
_symmetry_space_group_name_Hall '-P 1'
loop_
_atom_site_label
_atom_site_type_symbol
_atom_site_fract_x
_atom_site_fract_y
_atom_site_fract_z
_atom_site_occupancy
Ce1 Ce 0.0000 0.0000 0.0000 1
Nd1 Nd 0.1942 0.3048 0.3063 1
Tl1 Tl 0.4993 0.2876 0.7139 1

Version B
# CeNd2Tl2, relaxed, DFT PBE
# **Total moment**: 0.17 μB/atom
# **Calculated volume**: 30.77 Å³/atom
# **ρ**: 9.04 Mg/m³
data_CeNd2Tl2
_chemical_formula_sum 'Ce2 Nd4 Tl4'
_cell_length_a 5.2551
_cell_length_b 5.2551
_cell_length_c 12.8665
_cell_angle_alpha 90.00
_cell_angle_beta 90.00
_cell_angle_gamma 120.00
_symmetry_space_group_name_H-M 'P 63/m m c'
_symmetry_Int_Tables_number 194
_symmetry_space_group_name_Hall '-P 6c 2c'
loop_
_atom_site_label
_atom_site_type_symbol
_atom_site_fract_x
_atom_site_fract_y
_atom_site_fract_z
_atom_site_occupancy
Ce1 Ce 0.0000 0.0000 0.2500 1
Nd1 Nd 0.0000 0.0000 0.0000 1
Nd2 Nd 0.3333 0.6667 0.2500 1
Tl1 Tl 0.3333 0.6667 0.6249 1

version A (153 meV/atom below the next structure)

Version A
# Ce2NdTl, relaxed, DFT PBE
# **Total moment**: 0.44 μB/atom
# **Calculated volume**: 30.73 Å³/atom
# **ρ**: 8.49 Mg/m³
data_Ce2NdTl
_chemical_formula_sum 'Ce6 Nd3 Tl3'
_cell_length_a 3.5222
_cell_length_b 3.5222
_cell_length_c 34.3258
_cell_angle_alpha 90.00
_cell_angle_beta 90.00
_cell_angle_gamma 120.00
_symmetry_space_group_name_H-M 'R 3 m'
_symmetry_Int_Tables_number 160
_symmetry_space_group_name_Hall 'R 3 -2"'
loop_
_atom_site_label
_atom_site_type_symbol
_atom_site_fract_x
_atom_site_fract_y
_atom_site_fract_z
_atom_site_occupancy
Ce1 Ce 0.0000 0.0000 0.0000 1
Ce2 Ce 0.0000 0.0000 0.1740 1
Nd1 Nd 0.0000 0.0000 0.4214 1
Tl1 Tl 0.0000 0.0000 0.5868 1

Version B
# Ce2NdTl, relaxed, DFT PBE
# **Total moment**: 0.62 μB/atom
# **Calculated volume**: 30.94 Å³/atom
# **ρ**: 8.44 Mg/m³
data_Ce2NdTl
_chemical_formula_sum 'Ce2 Nd1 Tl1'
_cell_length_a 4.2411
_cell_length_b 4.2411
_cell_length_c 6.8807
_cell_angle_alpha 90.00
_cell_angle_beta 90.00
_cell_angle_gamma 90.00
_symmetry_space_group_name_H-M 'P 4/m m m'
_symmetry_Int_Tables_number 123
_symmetry_space_group_name_Hall '-P 4 2'
loop_
_atom_site_label
_atom_site_type_symbol
_atom_site_fract_x
_atom_site_fract_y
_atom_site_fract_z
_atom_site_occupancy
Ce1 Ce 0.0000 0.0000 0.2074 1
Nd1 Nd 0.5000 0.5000 0.5000 1
Tl1 Tl 0.5000 0.5000 0.0000 1

Version C
# Ce2NdTl, relaxed, DFT PBE
# **Total moment**: 0.52 μB/atom
# **Calculated volume**: 29.10 Å³/atom
# **ρ**: 8.97 Mg/m³
data_Ce2NdTl
_chemical_formula_sum 'Ce2 Nd1 Tl1'
_cell_length_a 4.7606
_cell_length_b 4.7606
_cell_length_c 5.1360
_cell_angle_alpha 90.00
_cell_angle_beta 90.00
_cell_angle_gamma 90.00
_symmetry_space_group_name_H-M 'P 4/m m m'
_symmetry_Int_Tables_number 123
_symmetry_space_group_name_Hall '-P 4 2'
loop_
_atom_site_label
_atom_site_type_symbol
_atom_site_fract_x
_atom_site_fract_y
_atom_site_fract_z
_atom_site_occupancy
Ce1 Ce 0.0000 0.5000 0.0000 1
Nd1 Nd 0.0000 0.0000 0.5000 1
Tl1 Tl 0.5000 0.5000 0.5000 1

version C (97 meV/atom below the next structure)